Version a
The following is a PBE calculation of a geometry-optimized Tm2ScAg structure, from Alexandria via LeMat-Bulk.

Cell and atoms, written as POSCAR:
```
Tm2ScAg
1.0
5.1738 0.0000 0.0000
0.0000 5.1738 0.0000
0.0000 0.0000 3.7148
Tm Sc Ag
2 1 1
Direct
0.0000 0.5000 0.0000
0.5000 0.0000 0.0000
0.0000 0.0000 0.5000
0.5000 0.5000 0.5000
```

Summary:
Its density of states at the Fermi level is 5.41 states/eV/cell. As for the space group: No. 123.



Version b
The following is a PBE calculation of a geometry-optimized Tm2ScAg structure, from Alexandria via LeMat-Bulk.

Cell and atoms, written as POSCAR:
```
Tm2ScAg
1.0
3.4638 0.0000 0.0000
0.0000 3.4638 0.0000
0.0000 0.0000 8.4520
Tm Sc Ag
2 1 1
Direct
0.0000 0.0000 0.2274
0.0000 0.0000 0.7726
0.5000 0.5000 0.5000
0.5000 0.5000 0.0000
```

Summary:
Its density of states at the Fermi level is 5.48 states/eV/cell. As for the space group: No. 123.



Version c
The following is a PBE calculation of a geometry-optimized Tm2ScAg structure, from Alexandria via LeMat-Bulk.

Cell and atoms, written as POSCAR:
```
Tm2ScAg
1.0
1.7233 0.9949 10.0625
-1.7233 0.9949 10.0625
0.0000 -1.9899 10.0625
Tm Sc Ag
2 1 1
Direct
0.0000 0.0000 0.0000
0.1760 0.1760 0.1760
0.7547 0.7547 0.7547
0.5879 0.5879 0.5879
```

Summary:
Its density of states at the Fermi level is 5.96 states/eV/cell. As for the space group: No. 160.



Version d
The following is a PBE calculation of a geometry-optimized Tm2ScAg structure, from Alexandria via LeMat-Bulk.

Cell and atoms, written as POSCAR:
```
Tm2ScAg
1.0
0.0000 3.6823 3.6823
3.6823 0.0000 3.6823
3.6823 3.6823 0.0000
Tm Sc Ag
2 1 1
Direct
0.2500 0.2500 0.2500
0.7500 0.7500 0.7500
0.0000 0.0000 0.0000
0.5000 0.5000 0.5000
```

Summary:
Its density of states at the Fermi level is 3.82 states/eV/cell. As for the space group: No. 225.



Tell me which of them is the least stable. Sure, it is version d.



Version a
The following is a PBE calculation of a geometry-optimized TmScAg2 structure, from Alexandria via LeMat-Bulk.

Cell and atoms, written as POSCAR:
```
TmScAg2
1.0
3.5074 0.0000 0.0000
0.0000 3.5074 0.0000
0.0000 0.0000 7.0386
Tm Sc Ag
1 1 2
Direct
0.0000 0.0000 0.0000
0.0000 0.0000 0.5000
0.5000 0.5000 0.2668
0.5000 0.5000 0.7332
```

Summary:
Its density of states at the Fermi level is 2.74 states/eV/cell. As for the space group: No. 123.



Version b
The following is a PBE calculation of a geometry-optimized TmScAg2 structure, from Alexandria via LeMat-Bulk.

Cell and atoms, written as POSCAR:
```
TmScAg2
1.0
0.0000 3.5167 3.5167
3.5167 0.0000 3.5167
3.5167 3.5167 0.0000
Tm Sc Ag
1 1 2
Direct
0.0000 0.0000 0.0000
0.5000 0.5000 0.5000
0.2500 0.2500 0.2500
0.7500 0.7500 0.7500
```

Summary:
Its density of states at the Fermi level is 2.78 states/eV/cell. As for the space group: No. 225.



Tell me which of them is the least stable. Sure, it is version b.



Version a
The following is a PBE calculation of a geometry-optimized TmScAg structure, from Alexandria via LeMat-Bulk.

Cell and atoms, written as POSCAR:
```
TmScAg
1.0
5.5025 -2.5045 0.0000
5.5025 2.5045 0.0000
-3.4039 0.0000 5.1611
Tm Sc Ag
2 2 2
Direct
0.1699 0.1699 0.2594
0.8301 0.8301 0.7406
0.4488 0.4488 0.1935
0.5512 0.5512 0.8065
0.1515 0.1515 0.7186
0.8485 0.8485 0.2814
```

Summary:
Its density of states at the Fermi level is 7.61 states/eV/cell. As for the space group: No. 12.



Version b
The following is a PBE calculation of a geometry-optimized TmScAg structure, from Alexandria via LeMat-Bulk.

Cell and atoms, written as POSCAR:
```
TmScAg
1.0
2.4240 1.3995 7.8649
-2.4240 1.3995 7.8649
0.0000 -2.7990 7.8649
Tm Sc Ag
2 2 2
Direct
0.1221 0.1221 0.1221
0.8779 0.8779 0.8779
0.3724 0.3724 0.3724
0.6276 0.6276 0.6276
0.2521 0.2521 0.2521
0.7479 0.7479 0.7479
```

Summary:
Its density of states at the Fermi level is 7.64 states/eV/cell. As for the space group: No. 166.



Version c
The following is a PBE calculation of a geometry-optimized TmScAg structure, from Alexandria via LeMat-Bulk.

Cell and atoms, written as POSCAR:
```
TmScAg
1.0
4.8698 0.0000 0.0000
-2.4349 4.2174 0.0000
0.0000 0.0000 3.4831
Tm Sc Ag
1 1 1
Direct
0.0000 0.0000 0.0000
0.3333 0.6667 0.4583
0.6667 0.3333 0.6577
```

Summary:
Its density of states at the Fermi level is 2.76 states/eV/cell. As for the space group: No. 156.



Version d
The following is a PBE calculation of a geometry-optimized TmScAg structure, from Alexandria via LeMat-Bulk.

Cell and atoms, written as POSCAR:
```
TmScAg
1.0
4.5009 0.0000 0.0000
0.0000 4.5009 0.0000
0.0000 0.0000 7.2656
Tm Sc Ag
2 2 2
Direct
0.2500 0.2500 0.1392
0.7500 0.7500 0.8608
0.2500 0.7500 0.5000
0.7500 0.2500 0.5000
0.2500 0.2500 0.7473
0.7500 0.7500 0.2527
```

Summary:
Its density of states at the Fermi level is 9.82 states/eV/cell. As for the space group: No. 129.



Tell me which of them is the least stable. Sure, it is version b.



Version a
The following is a PBE calculation of a geometry-optimized Tm3Sc2Ag2 structure, from Alexandria via LeMat-Bulk.

Cell and atoms, written as POSCAR:
```
Tm3Sc2Ag2
1.0
4.4636 -2.5721 0.0000
4.4636 2.5721 0.0000
-2.9536 0.0000 7.4036
Tm Sc Ag
3 2 2
Direct
0.0000 0.0000 0.0000
0.1582 0.1582 0.4747
0.8418 0.8418 0.5253
0.4267 0.4267 0.2789
0.5733 0.5733 0.7211
0.2870 0.2870 0.8643
0.7130 0.7130 0.1357
```

Summary:
Its density of states at the Fermi level is 9.50 states/eV/cell. As for the space group: No. 12.



Version b
The following is a PBE calculation of a geometry-optimized Tm3Sc2Ag2 structure, from Alexandria via LeMat-Bulk.

Cell and atoms, written as POSCAR:
```
Tm3Sc2Ag2
1.0
2.3720 -10.7427 0.0000
2.3720 10.7427 0.0000
0.0000 0.0000 3.3364
Tm Sc Ag
3 2 2
Direct
0.0000 0.0000 0.0000
0.1490 0.8510 0.0000
0.8510 0.1490 0.0000
0.2869 0.7131 0.5000
0.7131 0.2869 0.5000
0.4277 0.5723 0.5000
0.5723 0.4277 0.5000
```

Summary:
Its density of states at the Fermi level is 8.00 states/eV/cell. As for the space group: No. 65.



Tell me which of them is the least stable. Sure, it is version b.



Version a
The following is a PBE calculation of a geometry-optimized Tm4ScAg structure, from Alexandria via LeMat-Bulk.

Cell and atoms, written as POSCAR:
```
Tm4ScAg
1.0
3.4535 0.0000 0.0000
0.0000 3.4535 0.0000
0.0000 0.0000 13.5344
Tm Sc Ag
4 1 1
Direct
0.0000 0.0000 0.1426
0.0000 0.0000 0.8574
0.5000 0.5000 0.3294
0.5000 0.5000 0.6706
0.0000 0.0000 0.5000
0.5000 0.5000 0.0000
```

Summary:
Its density of states at the Fermi level is 8.02 states/eV/cell. As for the space group: No. 123.



Version b
The following is a PBE calculation of a geometry-optimized Tm4ScAg structure, from Alexandria via LeMat-Bulk.

Cell and atoms, written as POSCAR:
```
Tm4ScAg
1.0
2.5975 -10.3749 0.0000
2.5975 10.3749 0.0000
0.0000 0.0000 6.2302
Tm Sc Ag
8 2 2
Direct
0.0340 0.9660 0.5000
0.1737 0.8263 0.3148
0.2407 0.7593 0.8017
0.4306 0.5694 0.6595
0.5694 0.4306 0.1595
0.7593 0.2407 0.3017
0.8263 0.1737 0.8148
0.9660 0.0340 0.0000
0.3643 0.6357 0.1534
0.6357 0.3643 0.6534
0.1034 0.8966 0.9030
0.8966 0.1034 0.4030
```

Summary:
Its density of states at the Fermi level is 15.71 states/eV/cell. As for the space group: No. 36.



Tell me which of them is the least stable. Sure, it is version b.



Version a
The following is a PBE calculation of a geometry-optimized TmSc3Ag2 structure, from Alexandria via LeMat-Bulk.

Cell and atoms, written as POSCAR:
```
TmSc3Ag2
1.0
4.7965 0.0000 0.0000
0.0000 8.6071 0.0000
0.0000 0.0000 6.6566
Tm Sc Ag
2 6 4
Direct
0.0000 0.0606 0.0000
0.0000 0.9394 0.5000
0.0000 0.3297 0.6353
0.0000 0.6703 0.1353
0.5000 0.1814 0.3270
0.5000 0.4414 0.9608
0.5000 0.5586 0.4608
0.5000 0.8186 0.8270
0.0000 0.3549 0.2211
0.0000 0.6451 0.7211
0.5000 0.1498 0.7402
0.5000 0.8502 0.2402
```

Summary:
Its density of states at the Fermi level is 12.96 states/eV/cell. As for the space group: No. 26.



Version b
The following is a PBE calculation of a geometry-optimized TmSc3Ag2 structure, from Alexandria via LeMat-Bulk.

Cell and atoms, written as POSCAR:
```
TmSc3Ag2
1.0
2.5041 -7.6776 0.0000
2.5041 7.6776 0.0000
0.0000 0.0000 3.4865
Tm Sc Ag
1 3 2
Direct
0.0000 0.0000 0.0000
0.1800 0.8200 0.5000
0.5000 0.5000 0.5000
0.8200 0.1800 0.5000
0.3447 0.6553 0.0000
0.6553 0.3447 0.0000
```

Summary:
Its density of states at the Fermi level is 8.34 states/eV/cell. As for the space group: No. 65.



Tell me which of them is the least stable. Sure, it is version b.



Version a
The following is a PBE calculation of a geometry-optimized TmSc4Ag structure, from Alexandria via LeMat-Bulk.

Cell and atoms, written as POSCAR:
```
TmSc4Ag
1.0
2.5890 -9.5082 0.0000
2.5890 9.5082 0.0000
0.0000 0.0000 6.0073
Tm Sc Ag
2 8 2
Direct
0.0635 0.9365 0.5000
0.9365 0.0635 0.0000
0.1390 0.8610 0.0030
0.2527 0.7473 0.3813
0.3146 0.6854 0.8627
0.4577 0.5423 0.6717
0.5423 0.4577 0.1717
0.6854 0.3146 0.3627
0.7473 0.2527 0.8813
0.8610 0.1390 0.5030
0.3985 0.6015 0.2473
0.6015 0.3985 0.7473
```

Summary:
Its density of states at the Fermi level is 16.73 states/eV/cell. As for the space group: No. 36.



Version b
The following is a PBE calculation of a geometry-optimized TmSc4Ag structure, from Alexandria via LeMat-Bulk.

Cell and atoms, written as POSCAR:
```
TmSc4Ag
1.0
3.3437 0.0000 0.0000
0.0000 3.3437 0.0000
0.0000 0.0000 12.9070
Tm Sc Ag
1 4 1
Direct
0.0000 0.0000 0.0000
0.0000 0.0000 0.3584
0.0000 0.0000 0.6416
0.5000 0.5000 0.1860
0.5000 0.5000 0.8140
0.5000 0.5000 0.5000
```

Summary:
Its density of states at the Fermi level is 9.26 states/eV/cell. As for the space group: No. 123.



Tell me which of them is the least stable. Sure, it is version a.



Version a
The following is a PBE calculation of a geometry-optimized ScVAg2 structure, from Alexandria via LeMat-Bulk.

Cell and atoms, written as POSCAR:
```
ScVAg2
1.0
-3.7699 3.7699 2.7749
3.7699 -3.7699 2.7749
3.7699 3.7699 -2.7749
Sc V Ag
2 2 4
Direct
0.0000 0.0000 0.0000
0.7500 0.2500 0.5000
0.2500 0.7500 0.5000
0.5000 0.5000 0.0000
0.1435 0.6250 0.0185
0.3750 0.3935 0.5185
0.6065 0.1250 0.9815
0.8750 0.8565 0.4815
```

Summary:
Its density of states at the Fermi level is 8.79 states/eV/cell. As for the space group: No. 122.



Version b
The following is a PBE calculation of a geometry-optimized ScVAg2 structure, from Alexandria via LeMat-Bulk.

Cell and atoms, written as POSCAR:
```
ScVAg2
1.0
0.0000 3.3360 3.3360
3.3360 0.0000 3.3360
3.3360 3.3360 0.0000
Sc V Ag
1 1 2
Direct
0.0000 0.0000 0.0000
0.5000 0.5000 0.5000
0.2500 0.2500 0.2500
0.7500 0.7500 0.7500
```

Summary:
Its density of states at the Fermi level is 5.29 states/eV/cell. As for the space group: No. 225.



Tell me which of them is the least stable. Sure, it is version a.